A plane-wave DFT calculation with GGA-PBE was carried out for a relaxed Pr6As3P2Br crystal.

theoretical density = 6.1 Mg/m³
symmetry = C2/m, No. 12
formation energy without anion corrections = -1.52 eV/atom
crystal system = monoclinic
N(E_F) = 4.130 states/eV/cell
energy = -73.33 eV for the cell shown

Lattice parameters (Å, degrees): 4.2667 8.5966 9.5421 102.53 102.92 90.00
Element x y z (fractional)
As 0.1628 0.8355 0.3257
As 0.8372 0.1645 0.6743
As 0.5000 0.5000 0.0000
Br 0.5000 0.0000 0.0000
Pr 0.3254 0.9045 0.6509
Pr 0.6746 0.0955 0.3491
Pr 0.3310 0.4208 0.6620
Pr 0.0036 0.2716 0.0072
Pr 0.9964 0.7284 0.9928
Pr 0.6690 0.5792 0.3380
P 0.8335 0.6681 0.6670
P 0.1665 0.3319 0.3330